Material: Li22Sn5
Method: DFT, SCAN
State: PBEsol geometry

Lattice parameters (Å, degrees): 13.797 13.797 13.797 60.00 60.00 60.00
Positions (direct):
Li1 0.925 0.226 0.925
Li2 0.332 0.676 0.996
Li3 0.678 0.678 0.967
Li4 0.676 0.996 0.996
Li5 0.425 0.425 0.726
Li6 0.329 0.329 0.329
Li7 0.830 0.170 0.830
Li8 0.580 0.936 0.242
Li9 0.750 0.750 0.750
Li10 0.500 0.500 0.500
Li11 0.170 0.830 0.830
Li12 0.332 0.996 0.996
Li13 0.332 0.996 0.676
Li14 0.435 0.741 0.741
Li15 0.170 0.170 0.830
Li16 0.996 0.676 0.996
Li17 0.578 0.922 0.578
Li18 0.578 0.922 0.922
Li19 0.425 0.726 0.425
Li20 0.678 0.678 0.678
Li21 0.190 0.825 0.492
Li22 0.825 0.190 0.492
Li23 0.168 0.168 0.168
Li24 0.242 0.936 0.580
Li25 0.329 0.014 0.329
Li26 0.168 0.495 0.168
Li27 0.492 0.190 0.825
Li28 0.425 0.425 0.425
Li29 0.492 0.492 0.825
Li30 0.435 0.741 0.082
Li31 0.741 0.741 0.435
Li32 0.435 0.082 0.741
Li33 0.000 0.000 0.000
Li34 0.578 0.578 0.922
Li35 0.242 0.242 0.580
Li36 0.242 0.580 0.936
Li37 0.580 0.242 0.242
Li38 0.580 0.242 0.936
Li39 0.242 0.936 0.242
Li40 0.996 0.996 0.676
Li41 0.922 0.922 0.578
Li42 0.922 0.578 0.578
Li43 0.252 0.583 0.583
Li44 0.922 0.578 0.922
Li45 0.242 0.242 0.936
Li46 0.190 0.492 0.825
Li47 0.741 0.082 0.435
Li48 0.996 0.332 0.676
Li49 0.678 0.967 0.678
Li50 0.492 0.190 0.492
Li51 0.741 0.741 0.082
Li52 0.936 0.580 0.242
Li53 0.925 0.925 0.226
Li54 0.925 0.925 0.925
Li55 0.726 0.425 0.425
Li56 0.250 0.250 0.250
Li57 0.967 0.678 0.678
Li58 0.014 0.329 0.329
Li59 0.492 0.825 0.492
Li60 0.741 0.082 0.741
Li61 0.741 0.435 0.741
Li62 0.242 0.580 0.242
Li63 0.082 0.435 0.741
Li64 0.492 0.492 0.190
Li65 0.825 0.492 0.492
Li66 0.830 0.170 0.170
Li67 0.495 0.168 0.168
Li68 0.226 0.925 0.925
Li69 0.082 0.741 0.741
Li70 0.936 0.242 0.580
Li71 0.996 0.676 0.332
Li72 0.583 0.252 0.583
Li73 0.996 0.996 0.332
Li74 0.825 0.492 0.190
Li75 0.583 0.583 0.252
Li76 0.676 0.996 0.332
Li77 0.168 0.168 0.495
Li78 0.170 0.830 0.170
Li79 0.190 0.492 0.492
Li80 0.329 0.329 0.014
Li81 0.676 0.332 0.996
Li82 0.741 0.435 0.082
Li83 0.830 0.830 0.170
Li84 0.082 0.741 0.435
Li85 0.996 0.332 0.996
Li86 0.492 0.825 0.190
Li87 0.583 0.583 0.583
Li88 0.936 0.242 0.242
Sn1 0.838 0.838 0.485
Sn2 0.083 0.750 0.083
Sn3 0.426 0.074 0.426
Sn4 0.675 0.325 0.325
Sn5 0.838 0.485 0.838
Sn6 0.074 0.426 0.426
Sn7 0.325 0.675 0.325
Sn8 0.325 0.325 0.675
Sn9 0.838 0.838 0.838
Sn10 0.485 0.838 0.838
Sn11 0.083 0.083 0.083
Sn12 0.675 0.675 0.325
Sn13 0.750 0.083 0.083
Sn14 0.074 0.074 0.426
Sn15 0.074 0.426 0.074
Sn16 0.426 0.426 0.074
Sn17 0.426 0.074 0.074
Sn18 0.325 0.675 0.675
Sn19 0.083 0.083 0.750
Sn20 0.675 0.325 0.675


Material: SrLi3Sn
Method: DFT, SCAN
State: PBEsol geometry

Lattice parameters (Å, degrees): 5.132 5.132 5.132 90.00 90.00 90.00
Positions (direct):
Li1 0.500 0.000 0.000
Li2 0.000 0.500 0.000
Li3 0.000 0.000 0.500
Sn1 0.000 0.000 0.000
Sr1 0.500 0.500 0.500


Material: SrLi3Sn
Method: DFT, SCAN
State: PBEsol geometry

Lattice parameters (Å, degrees): 5.303 5.303 5.303 90.00 90.00 90.00
Positions (direct):
Li1 0.000 0.000 0.500
Li2 0.500 0.000 0.000
Li3 0.000 0.500 0.000
Sn1 0.500 0.500 0.500
Sr1 0.000 0.000 0.000


Material: Sr2LiSn2
Method: DFT, SCAN
State: PBEsol geometry

Lattice parameters (Å, degrees): 4.880 8.051 8.051 90.00 90.00 90.00
Positions (direct):
Sn1 0.000 0.870 0.630
Sn2 0.000 0.630 0.130
Sn3 0.000 0.370 0.870
Sn4 0.000 0.130 0.370
Sr1 0.500 0.168 0.668
Sr2 0.500 0.332 0.168
Sr3 0.500 0.832 0.332
Sr4 0.500 0.668 0.832
Li1 0.000 0.500 0.500
Li2 0.000 0.000 0.000


Material: Li3TaSn
Method: DFT, SCAN
State: PBEsol geometry

Lattice parameters (Å, degrees): 4.634 4.634 4.634 90.00 90.00 90.00
Positions (direct):
Li1 0.500 0.000 0.000
Li2 0.000 0.500 0.000
Li3 0.000 0.000 0.500
Sn1 0.000 0.000 0.000
Ta1 0.500 0.500 0.500


Material: LiYTcSn2
Method: DFT, SCAN
State: PBEsol geometry

Lattice parameters (Å, degrees): 4.652 4.652 4.861 90.00 90.00 90.00
Positions (direct):
Tc1 0.500 0.500 0.500
Y1 0.000 0.000 0.500
Sn1 0.500 0.000 0.000
Sn2 0.000 0.500 0.000
Li1 0.000 0.000 0.000


Material: Li2ZrTiSn
Method: DFT, SCAN
State: PBEsol geometry

Lattice parameters (Å, degrees): 4.672 4.672 5.447 90.00 90.00 90.00
Positions (direct):
Sn1 0.000 0.000 0.000
Ti1 0.500 0.500 0.500
Zr1 0.000 0.000 0.500
Li1 0.500 0.000 0.000
Li2 0.000 0.500 0.000


Material: Li3TlSn
Method: DFT, SCAN
State: PBEsol geometry

Lattice parameters (Å, degrees): 5.127 5.127 5.127 90.00 90.00 90.00
Positions (direct):
Li1 0.500 0.000 0.000
Li2 0.000 0.500 0.000
Li3 0.000 0.000 0.500
Tl1 0.500 0.500 0.500
Sn1 0.000 0.000 0.000


no.,E_form (eV/f.u.),VASP energy (eV/atom)
1,-9.5,-8.9514
2,-1.2,-13.3069
3,4.1,-12.2476
4,-3.0,-24.3511
5,5.3,-20.8821
6,2.9,-26.8548
7,2.6,-16.9723
8,-0.2,-23.1274